Material: Al3VO
Method: DFT, PBE+U
State: relaxed

Unit cell a=4.933 b=4.933 c=4.933 alpha=90.00 beta=90.00 gamma=90.00
Last column: magnetic moment on the atom in μB.
Fractional coordinates of all 5 atoms:
1 Al 0.500 0.000 0.000  0.07
2 Al 0.000 0.000 0.500  0.07
3 Al 0.000 0.500 0.000  0.07
4 O 0.500 0.500 0.500  0.98
5 V 0.000 0.000 0.000  3.07

Output
* symmetry: Pm-3m (221)
* energy above the lowest structure with this stoichiometry: 1398 meV per atom
* total magnetization: 5.76 μB/f.u.
* uncorrected energy: -17.9 eV per cell



Material: AlVO3
Method: DFT, PBE+U
State: relaxed

Unit cell a=3.177 b=5.114 c=7.207 alpha=104.26 beta=90.00 gamma=90.00
Last column: magnetic moment on the atom in μB.
Fractional coordinates of all 10 atoms:
1 O 0.750 0.957 0.349  -0.02
2 O 0.250 0.192 0.057  0.00
3 O 0.750 0.808 0.943  0.00
4 O 0.250 0.043 0.651  -0.02
5 O 0.250 0.546 0.644  -0.03
6 O 0.750 0.454 0.356  -0.03
7 Al 0.250 0.864 0.845  0.00
8 Al 0.750 0.136 0.155  0.00
9 V 0.750 0.283 0.590  1.95
10 V 0.250 0.717 0.410  1.95

Output
* symmetry: P2_1/m (11)
* total magnetization: 2.00 μB/f.u.
* uncorrected energy: -76.8 eV per cell



Material: AlVO3
Method: DFT, PBE+U
State: relaxed

Unit cell a=5.027 b=5.052 c=7.879 alpha=90.00 beta=90.00 gamma=90.00
Last column: magnetic moment on the atom in μB.
Fractional coordinates of all 20 atoms:
1 O 0.639 0.645 0.250  -0.01
2 O 0.849 0.336 0.919  -0.03
3 O 0.151 0.664 0.081  -0.03
4 O 0.349 0.164 0.419  -0.03
5 O 0.349 0.164 0.081  -0.03
6 O 0.849 0.336 0.581  -0.03
7 O 0.861 0.145 0.250  -0.01
8 O 0.139 0.855 0.750  -0.01
9 O 0.361 0.355 0.750  -0.01
10 O 0.651 0.836 0.919  -0.03
11 O 0.651 0.836 0.581  -0.03
12 O 0.151 0.664 0.419  -0.03
13 Al 0.024 0.502 0.750  0.01
14 Al 0.524 0.998 0.250  0.01
15 Al 0.976 0.498 0.250  0.01
16 Al 0.476 0.002 0.750  0.01
17 V 0.000 0.000 0.500  1.94
18 V 0.000 0.000 0.000  1.94
19 V 0.500 0.500 0.500  1.94
20 V 0.500 0.500 0.000  1.94

Output
* symmetry: Pnma (62)
* total magnetization: 2.00 μB/f.u.
* uncorrected energy: -152.1 eV per cell



Material: AlVO3
Method: DFT, PBE+U
State: relaxed

Unit cell a=3.814 b=3.814 c=3.814 alpha=90.00 beta=90.00 gamma=90.00
Last column: magnetic moment on the atom in μB.
Fractional coordinates of all 5 atoms:
1 O 0.000 0.000 0.500  -0.05
2 O 0.000 0.500 0.000  -0.05
3 O 0.500 0.000 0.000  -0.05
4 V 0.000 0.000 0.000  1.11
5 Al 0.500 0.500 0.500  0.11

Output
* symmetry: Pm-3m (221)
* total magnetization: 1.25 μB/f.u.
* uncorrected energy: -32.7 eV per cell



Material: AlVO6
Method: DFT, PBE+U
State: relaxed

Unit cell a=5.263 b=5.263 c=5.263 alpha=60.00 beta=60.00 gamma=60.00
Last column: magnetic moment on the atom in μB.
Fractional coordinates of all 8 atoms:
1 Al 0.500 0.500 0.500  -0.02
2 O 0.750 0.750 0.250  0.65
3 O 0.750 0.250 0.750  0.65
4 O 0.250 0.250 0.750  0.65
5 O 0.250 0.750 0.750  0.65
6 O 0.250 0.750 0.250  0.65
7 O 0.750 0.250 0.250  0.65
8 V 0.000 0.000 0.000  -0.55

Output
* symmetry: Fm-3m (225)
* total magnetization: 4.00 μB/f.u.
* uncorrected energy: -50.3 eV per cell



Material: Al2VO7
Method: DFT, PBE+U
State: relaxed

Unit cell a=8.214 b=8.214 c=5.566 alpha=68.63 beta=68.63 gamma=62.97
Last column: magnetic moment on the atom in μB.
Fractional coordinates of all 20 atoms:
1 V 0.637 0.637 0.612  -0.05
2 V 0.363 0.363 0.388  -0.05
3 O 0.724 0.398 0.645  0.10
4 O 0.602 0.276 0.355  0.10
5 O 0.963 0.278 0.199  0.61
6 O 0.276 0.602 0.355  0.10
7 O 0.278 0.963 0.199  0.61
8 O 0.741 0.741 0.296  0.03
9 O 0.313 0.313 0.147  0.07
10 O 0.061 0.061 0.564  1.11
11 O 0.259 0.259 0.704  0.03
12 O 0.398 0.724 0.645  0.10
13 O 0.687 0.687 0.853  0.07
14 O 0.722 0.037 0.801  0.61
15 O 0.939 0.939 0.436  1.11
16 O 0.037 0.722 0.801  0.61
17 Al 0.798 0.202 0.500  -0.02
18 Al 0.209 0.209 0.051  -0.01
19 Al 0.791 0.791 0.949  -0.01
20 Al 0.202 0.798 0.500  -0.02

Output
* symmetry: C2/m (12)
* total magnetization: 3.03 μB/f.u.
* uncorrected energy: -135.0 eV per cell



Material: AlVO3
Method: DFT, PBE+U
State: relaxed

Unit cell a=4.968 b=4.968 c=5.386 alpha=62.54 beta=62.54 gamma=60.00
Last column: magnetic moment on the atom in μB.
Fractional coordinates of all 10 atoms:
1 O 0.557 0.948 0.264  -0.01
2 O 0.769 0.443 0.736  -0.01
3 O 0.443 0.052 0.736  -0.01
4 O 0.052 0.769 0.736  -0.01
5 O 0.948 0.231 0.264  -0.01
6 O 0.231 0.557 0.264  -0.01
7 V 0.648 0.648 0.057  1.91
8 V 0.352 0.352 0.943  1.91
9 Al 0.850 0.850 0.449  0.01
10 Al 0.150 0.150 0.551  0.01

Output
* symmetry: R-3 (148)
* total magnetization: 2.00 μB/f.u.
* uncorrected energy: -77.3 eV per cell



Material: AlV2O5
Method: DFT, PBE+U
State: relaxed

Unit cell a=5.361 b=5.311 c=5.242 alpha=59.57 beta=70.84 gamma=90.00
Last column: magnetic moment on the atom in μB.
Fractional coordinates of all 8 atoms:
1 O 0.225 0.214 0.052  -0.02
2 O 0.723 0.655 0.207  -0.02
3 O 0.225 0.734 0.052  -0.02
4 O 0.888 0.161 0.678  -0.05
5 O 0.723 0.139 0.207  -0.02
6 V 0.499 0.964 0.072  1.87
7 V 0.949 0.370 0.261  1.08
8 Al 0.991 0.987 0.026  0.01

Output
* symmetry: Cm (8)
* total magnetization: 3.00 μB/f.u.
* uncorrected energy: -60.1 eV per cell